1.
Here is crystalline BaNd2In2O7 at its relaxed geometry from Alexandria via LeMat-Bulk. Energies are from GGA-PBE.

## Properties
Volume: 15.41 Å³ per atom
Raw formation energy: -2.486 eV per atom
Total energy: -6.79 eV per atom
Magnetization: 0.0 μB/f.u.

abc: 5.9727 5.9727 20.7368
angles: 90.00 90.00 90.00
Closest atoms and distances in Å follow each position.
Element x y z (fractional)
Ba 0.2397 0.7603 0.5000  4 O 2.78-2.79
Ba 0.7603 0.2397 0.5000  4 O 2.78-2.79
Ba 0.2603 0.2603 0.0000  4 O 2.78-2.79
Ba 0.7397 0.7397 0.0000  4 O 2.78-2.79
Nd 0.2198 0.7802 0.3138  5 O 2.28-2.55
Nd 0.7802 0.2198 0.3138  5 O 2.28-2.55
Nd 0.2802 0.2802 0.8138  5 O 2.28-2.55
Nd 0.7198 0.7198 0.8138  5 O 2.28-2.55
Nd 0.7802 0.2198 0.6862  5 O 2.28-2.55
Nd 0.2198 0.7802 0.6862  5 O 2.28-2.55
Nd 0.7198 0.7198 0.1862  5 O 2.28-2.55
Nd 0.2802 0.2802 0.1862  5 O 2.28-2.55
In 0.2403 0.7597 0.1035  6 O 2.14-2.36
In 0.7597 0.2403 0.1035  6 O 2.14-2.36
In 0.2597 0.2597 0.6035  6 O 2.14-2.36
In 0.7403 0.7403 0.6035  6 O 2.14-2.36
In 0.7597 0.2403 0.8965  6 O 2.14-2.36
In 0.2403 0.7597 0.8965  6 O 2.14-2.36
In 0.7403 0.7403 0.3965  6 O 2.14-2.36
In 0.2597 0.2597 0.3965  6 O 2.14-2.36
O 0.2975 0.2975 0.5000  2 In 2.17
O 0.7025 0.7025 0.5000  2 In 2.17
O 0.2025 0.7975 0.0000  2 In 2.17
O 0.7975 0.2025 0.0000  2 In 2.17
O 0.3220 0.6780 0.2122  3 Nd 2.28-2.45, 1 In 2.36
O 0.6780 0.3220 0.2122  3 Nd 2.28-2.45, 1 In 2.36
O 0.1780 0.1780 0.7122  3 Nd 2.28-2.45, 1 In 2.36
O 0.8220 0.8220 0.7122  3 Nd 2.28-2.45, 1 In 2.36
O 0.6780 0.3220 0.7878  3 Nd 2.28-2.45, 1 In 2.36
O 0.3220 0.6780 0.7878  3 Nd 2.28-2.45, 1 In 2.36
O 0.8220 0.8220 0.2878  3 Nd 2.28-2.45, 1 In 2.36
O 0.1780 0.1780 0.2878  3 Nd 2.28-2.45, 1 In 2.36
O 0.0000 0.5000 0.3813  2 In 2.14
O 0.5000 0.0000 0.8813  2 In 2.14
O 0.0000 0.5000 0.6187  2 In 2.14
O 0.5000 0.0000 0.1187  2 In 2.14
O 0.5000 0.0000 0.3813  2 In 2.14
O 0.0000 0.5000 0.8813  2 In 2.14
O 0.5000 0.0000 0.6187  2 In 2.14
O 0.0000 0.5000 0.1187  2 In 2.14
O 0.5000 0.5000 0.3628  2 In 2.15
O 0.0000 0.0000 0.8628  2 In 2.15
O 0.5000 0.5000 0.6372  2 In 2.15
O 0.0000 0.0000 0.1372  2 In 2.15
O 0.5000 0.5000 0.0917  2 In 2.21
O 0.0000 0.0000 0.5917  2 In 2.21
O 0.5000 0.5000 0.9083  2 In 2.21
O 0.0000 0.0000 0.4083  2 In 2.21

2.
Here is crystalline Ca2CrPb at its relaxed geometry from Alexandria via LeMat-Bulk. Energies are from GGA-PBE.

## Properties
Volume: 30.31 Å³ per atom
Formation enthalpy at 0 K: 289 meV/atom
Total energy: -4.05 eV per atom
Magnetization: 4.4 μB/f.u.

abc: 10.5835 10.5835 10.5835
angles: 19.99 19.99 19.99
Closest atoms and distances in Å follow each position.
Element x y z (fractional)
Pb 0.7500 0.7500 0.7500  6 Ca 3.41, 6 Pb 3.67
Cr 0.2500 0.2500 0.2500  6 Ca 3.29, 6 Cr 3.67
Ca 0.9974 0.9974 0.9974  3 Cr 3.29, 3 Pb 3.41, 6 Ca 3.67
Ca 0.5026 0.5026 0.5026  3 Cr 3.29, 3 Pb 3.41, 6 Ca 3.67